# Ce12Hg6Ir GGA-PBE optimized geometry
# - space-group type = No. 148
# - ΔH_f (0 K) (eV/atom) = -0.145
# - raw total energy (eV per atom) = -4.4541
data_Ce12Hg6Ir
_cell_length_a 7.9078
_cell_length_b 7.9078
_cell_length_c 7.9078
_cell_angle_alpha 89.54
_cell_angle_beta 89.54
_cell_angle_gamma 89.54
_symmetry_space_group_name_H-M 'P 1'
_symmetry_Int_Tables_number 1
_symmetry_space_group_name_Hall 'P 1'
loop_
_atom_site_label
_atom_site_type_symbol
_atom_site_fract_x
_atom_site_fract_y
_atom_site_fract_z
Ce1 Ce 0.7725 0.5067 0.4145
Ce2 Ce 0.4145 0.7725 0.5067
Ce3 Ce 0.5067 0.4145 0.7725
Ce4 Ce 0.2275 0.4933 0.5855
Ce5 Ce 0.5855 0.2275 0.4933
Ce6 Ce 0.4933 0.5855 0.2275
Ce7 Ce 0.0625 0.1392 0.3467
Ce8 Ce 0.8608 0.6533 0.9375
Ce9 Ce 0.6533 0.9375 0.8608
Ce10 Ce 0.9375 0.8608 0.6533
Ce11 Ce 0.1392 0.3467 0.0625
Ce12 Ce 0.3467 0.0625 0.1392
Hg1 Hg 0.7327 0.9070 0.2719
Hg2 Hg 0.7281 0.2673 0.0930
Hg3 Hg 0.0930 0.7281 0.2673
Hg4 Hg 0.2673 0.0930 0.7281
Hg5 Hg 0.2719 0.7327 0.9070
Hg6 Hg 0.9070 0.2719 0.7327
Ir1 Ir 0.0000 0.0000 0.0000